## LiCa2Ru (GGA-PBE)

Data for crystalline LiCa2Ru at its relaxed geometry.

Lattice parameters (Å, degrees): 3.5168 3.5168 7.7205 90.00 90.00 90.00
Fractional positions:
Li  0.0000  0.0000  0.0000
Ca  0.0000  0.0000  0.3476
Ca  0.5000  0.5000  0.7613
Ru  0.5000  0.5000  0.1192

Properties
E	-14.14	eV for the cell shown
symmetry	No. 99
E_form	0.263	eV/atom